Record 1
## TbSmBi (PBE)

Data for crystalline TbSmBi at its relaxed geometry.

Lattice parameters (Å, degrees): 4.205 6.408 8.604 116.67 90.00 109.15
Site moments in Bohr magnetons follow the coordinates.
Sites, in units of the cell vectors:
Tb (0.152, 0.304, 0.551)  0.27
Sm (0.565, 0.130, 0.836)  0.11
Bi (0.839, 0.679, 0.825)  0.00
Sm (0.435, 0.870, 0.164)  0.11
Bi (0.161, 0.321, 0.175)  0.00
Tb (0.848, 0.696, 0.449)  0.27

Summary:
**Space-group type**: No. 12
**Raw total energy**: -4.919 eV/atom


Record 2
## Ca3Tb3SmS8 (PBE)

Data for crystalline Ca3Tb3SmS8 at its relaxed geometry.

Lattice parameters (Å, degrees): 7.929 7.929 8.001 119.70 90.00 120.00
Sites, in units of the cell vectors:
S (0.252, 0.503, 0.255)
Sm (0.000, 0.000, 0.500)
Tb (0.500, 0.000, 0.500)
S (0.249, 0.994, 0.742)
S (0.751, 0.006, 0.258)
S (0.255, 0.006, 0.258)
S (0.751, 0.503, 0.258)
Ca (0.000, 0.000, 0.000)
Tb (0.500, 0.500, 0.500)
S (0.249, 0.497, 0.742)
Tb (0.000, 0.500, 0.500)
S (0.748, 0.497, 0.745)
Ca (0.500, 0.500, 0.000)
Ca (0.000, 0.500, 0.000)
S (0.745, 0.994, 0.742)

Summary:
**Space-group type**: No. 166
**E_form (uncorrected)**: -200.5 kJ per mole of atoms


Record 3
## InFeSi2 (PBE)

Data for crystalline InFeSi2 at its relaxed geometry.

Lattice parameters (Å, degrees): 4.101 4.101 5.617 78.06 78.06 46.48
Site moments in Bohr magnetons follow the coordinates.
Sites, in units of the cell vectors:
In (0.250, 0.250, 0.250)  0.01
Si (0.022, 0.022, 0.907)  -0.01
Si (0.478, 0.478, 0.593)  -0.01
Fe (0.750, 0.750, 0.750)  1.38

Summary:
**Space-group type**: No. 12
**E_form (uncorrected)**: 14.7 kJ per mole of atoms


Number 1: DOS(E_F) 4.01 states/eV/f.u.. Number 2: DOS(E_F) 4.54 states/eV/f.u.. Number 3: DOS(E_F) 2.50 states/eV/f.u..